(1)
BaTiS2O, optimized geometry, DFT PBE-GGA; formation energy without anion corrections = -2090 meV per atom; space-group type = P2_1/m; total magnetization = 0.00 μB/cell
1.0
7.479 0.000 0.000
0.000 3.743 0.000
-2.204 0.000 7.690
Ba Ti S O
2 2 4 2
Direct
0.179 0.250 0.306 Ba
0.821 0.750 0.694 Ba
0.306 0.250 0.811 Ti
0.694 0.750 0.189 Ti
0.306 0.750 0.025 S
0.382 0.750 0.636 S
0.618 0.250 0.364 S
0.694 0.250 0.975 S
0.070 0.250 0.709 O
0.930 0.750 0.291 O

---

(2)
Mg4Si3, optimized geometry, DFT PBE-GGA; formation energy without anion corrections = 17 meV per atom; energy relative to the lowest polymorph listed for this composition = 0.049 eV per atom; space-group type = P1; total magnetization = 0.00 μB/cell
1.0
6.715 0.000 0.000
2.918 7.047 0.000
1.315 1.998 11.780
Mg Si
16 12
Direct
0.000 0.000 0.000 Mg
0.019 0.409 0.865 Mg
0.074 0.576 0.454 Mg
0.195 0.860 0.585 Mg
0.274 0.562 0.027 Mg
0.355 0.832 0.192 Mg
0.386 0.359 0.268 Mg
0.455 0.097 0.962 Mg
0.524 0.219 0.518 Mg
0.556 0.894 0.390 Mg
0.592 0.796 0.786 Mg
0.681 0.537 0.599 Mg
0.772 0.673 0.040 Mg
0.802 0.107 0.735 Mg
0.843 0.448 0.288 Mg
0.944 0.011 0.346 Mg
0.003 0.734 0.214 Si
0.009 0.769 0.855 Si
0.086 0.246 0.617 Si
0.088 0.251 0.106 Si
0.167 0.188 0.422 Si
0.338 0.561 0.768 Si
0.358 0.242 0.734 Si
0.472 0.576 0.409 Si
0.642 0.384 0.888 Si
0.666 0.000 0.167 Si
0.695 0.323 0.096 Si
0.799 0.856 0.566 Si

---

(3)
La2TlZn2, optimized geometry, DFT PBE-GGA; energy of formation = -329 meV per atom; space-group type = P4/mbm; total magnetization = 1.38 μB/cell
1.0
8.166 0.000 0.000
0.000 8.166 0.000
0.000 0.000 4.023
La Tl Zn
4 2 4
Direct
0.177 0.323 0.000 La
0.323 0.823 0.000 La
0.677 0.177 0.000 La
0.823 0.677 0.000 La
0.000 0.000 0.500 Tl
0.500 0.500 0.500 Tl
0.117 0.617 0.500 Zn
0.383 0.117 0.500 Zn
0.617 0.883 0.500 Zn
0.883 0.383 0.500 Zn

---

(4)
Nd6CoC2Cl3, optimized geometry, DFT PBE-GGA; formation energy without anion corrections = -908 meV per atom; space-group type = C2/m; total magnetization = 0.00 μB/cell
1.0
9.054 -1.916 0.000
9.054 1.916 0.000
-2.863 0.000 8.104
Nd Co C Cl
6 1 2 3
Direct
0.019 0.019 0.239 Nd
0.319 0.319 0.447 Nd
0.342 0.342 0.872 Nd
0.658 0.658 0.128 Nd
0.681 0.681 0.553 Nd
0.981 0.981 0.761 Nd
0.500 0.500 0.000 Co
0.169 0.169 0.339 C
0.831 0.831 0.661 C
0.169 0.169 0.827 Cl
0.500 0.500 0.500 Cl
0.831 0.831 0.173 Cl

---

What theoretical density values result from the calculations? In sequence: 4.1; 2.2; 7.6; 6.2 g cm⁻³.